# 1
FeIr3: optimized geometry, PBE-GGA.

```
FeIr3
1.0
-4.032 -0.345 1.554
-0.832 -4.313 -3.116
1.970 -0.612 4.975
Ir Fe
6 2
Direct
0.750 0.830 0.170
0.750 0.339 0.170
0.750 0.830 0.661
0.250 0.170 0.830
0.250 0.661 0.830
0.250 0.170 0.339
0.250 0.667 0.333
0.750 0.333 0.667
```

## Properties
- DOS at the Fermi energy: 12.86 states/eV/cell
- Crystal system: hexagonal
- Formation energy from the elements: 20 meV per atom
- Magnetic moment: 0.0 μB/cell

---

# 2
Fe4Ir5: optimized geometry, PBE-GGA.

```
Fe4Ir5
1.0
-2.558 0.917 2.678
1.967 -1.984 5.277
1.381 5.378 2.196
Fe Ir
4 5
Direct
0.166 0.334 0.334
0.500 0.666 0.334
0.500 0.334 0.666
0.834 0.666 0.666
0.500 0.000 0.000
0.168 0.664 0.000
0.168 0.000 0.664
0.832 0.000 0.336
0.832 0.336 0.000
```

## Properties
- DOS at the Fermi energy: 13.82 states/eV/cell
- Crystal system: tetragonal
- Formation energy from the elements: 6 meV per atom
- Offset from the most stable computed form: 0 meV/atom
- Magnetic moment: 10.7 μB/cell

---

# 3
FeIr3: optimized geometry, PBE-GGA.

```
FeIr3
1.0
-1.367 -1.089 4.559
-4.044 -2.127 -1.721
2.370 -4.258 -0.307
Fe Ir
2 6
Direct
0.000 0.000 0.000
0.500 0.500 0.500
0.250 0.500 0.000
0.750 0.500 0.000
0.000 0.250 0.500
0.000 0.750 0.500
0.500 0.000 0.250
0.500 0.000 0.750
```

## Properties
- DOS at the Fermi energy: 11.83 states/eV/cell
- Crystal system: cubic
- Formation energy from the elements: 407 meV per atom
- Magnetic moment: 5.4 μB/cell

---

# 4
FeIr3: optimized geometry, PBE-GGA.

```
FeIr3
1.0
-0.339 2.951 2.418
-3.296 0.997 -1.679
-1.923 -2.229 2.451
Ir Fe
3 1
Direct
0.000 0.500 0.500
0.500 0.000 0.500
0.500 0.500 0.000
0.000 0.000 0.000
```

## Properties
- DOS at the Fermi energy: 5.11 states/eV/cell
- Crystal system: cubic
- Formation energy from the elements: -29 meV per atom
- Magnetic moment: 3.3 μB/cell

---

# 5
FeIr3: optimized geometry, PBE-GGA.

```
FeIr3
1.0
-2.720 -0.024 -0.144
-0.133 -0.688 2.632
-0.165 7.264 1.891
Ir Fe
3 1
Direct
0.500 0.500 0.242
0.000 0.000 0.500
0.500 0.500 0.758
0.000 0.000 0.000
```

## Properties
- DOS at the Fermi energy: 4.30 states/eV/cell
- Crystal system: tetragonal
- Formation energy from the elements: -23 meV per atom
- Magnetic moment: 2.6 μB/cell

---

# 6
FeIr4: optimized geometry, PBE-GGA.

```
FeIr4
1.0
4.749 0.000 0.000
0.000 4.361 -1.834
0.000 -3.851 8.606
Fe Ir
2 8
Direct
0.000 0.000 0.000
0.500 0.000 0.500
0.420 0.200 0.305
0.920 0.800 0.195
0.580 0.800 0.695
0.080 0.200 0.805
0.062 0.392 0.593
0.562 0.608 0.907
0.938 0.608 0.407
0.438 0.392 0.093
```

## Properties
- DOS at the Fermi energy: 11.49 states/eV/cell
- Crystal system: monoclinic
- Formation energy from the elements: 151 meV per atom
- Offset from the most stable computed form: 192 meV/atom
- Magnetic moment: 6.4 μB/cell

---

# 7
FeIr4: optimized geometry, PBE-GGA.

```
FeIr4
1.0
4.379 0.000 0.000
0.000 4.379 0.000
0.000 0.000 4.379
Ir Fe
4 1
Direct
0.000 0.000 0.000
0.500 0.000 0.500
0.000 0.500 0.500
0.500 0.500 0.000
0.500 0.500 0.500
```

## Properties
- DOS at the Fermi energy: 7.23 states/eV/cell
- Crystal system: cubic
- Formation energy from the elements: 1656 meV per atom
- Offset from the most stable computed form: 1697 meV/atom
- Magnetic moment: 0.0 μB/cell

---

# 8
Fe5Ir7: optimized geometry, PBE-GGA.

```
Fe5Ir7
1.0
3.766 0.000 0.000
0.000 5.067 -1.761
0.000 0.089 8.427
Fe Ir
5 7
Direct
0.500 0.169 0.338
0.000 0.500 0.500
0.500 0.831 0.662
0.500 0.000 0.000
0.000 0.000 0.500
0.000 0.158 0.827
0.500 0.500 0.000
0.000 0.842 0.173
0.000 0.670 0.827
0.000 0.330 0.173
0.500 0.671 0.343
0.500 0.329 0.657
```

## Properties
- DOS at the Fermi energy: 14.58 states/eV/cell
- Crystal system: orthorhombic
- Formation energy from the elements: -18 meV per atom
- Magnetic moment: 11.8 μB/cell

---

# 9
FeIr: optimized geometry, PBE-GGA.

```
FeIr
1.0
2.693 0.000 0.000
1.347 4.830 -0.002
0.000 1.620 6.051
Fe Ir
3 3
Direct
0.000 0.000 0.003
0.668 0.663 0.330
0.611 0.779 0.724
0.330 0.339 0.665
0.950 0.100 0.392
0.274 0.451 0.054
```

## Properties
- DOS at the Fermi energy: 8.09 states/eV/cell
- Crystal system: monoclinic
- Formation energy from the elements: -11 meV per atom
- Magnetic moment: 6.5 μB/cell

---

# 10
Fe8Ir: optimized geometry, PBE-GGA.

```
Fe8Ir
1.0
-3.150 -0.860 1.494
-2.997 -2.984 -3.720
3.708 -4.080 1.153
Fe Ir
8 1
Direct
0.671 0.000 0.341
0.329 0.000 0.659
0.000 0.340 0.340
0.329 0.341 0.000
0.660 0.340 0.660
0.671 0.659 0.000
0.000 0.660 0.660
0.340 0.660 0.340
0.000 0.000 0.000
```

## Properties
- DOS at the Fermi energy: 12.61 states/eV/cell
- Crystal system: tetragonal
- Formation energy from the elements: 77 meV per atom
- Offset from the most stable computed form: 99 meV/atom
- Magnetic moment: 0.4 μB/cell

---

# 11
FeIr: optimized geometry, PBE-GGA.

```
FeIr
1.0
5.233 0.000 0.000
0.000 5.233 0.000
0.000 0.000 5.233
Fe Ir
4 4
Direct
0.250 0.250 0.250
0.250 0.750 0.750
0.750 0.250 0.750
0.750 0.750 0.250
0.000 0.000 0.000
0.000 0.500 0.500
0.500 0.000 0.500
0.500 0.500 0.000
```

## Properties
- DOS at the Fermi energy: 9.83 states/eV/cell
- Crystal system: cubic
- Formation energy from the elements: 989 meV per atom
- Magnetic moment: 0.0 μB/cell

---

# 12
Fe3Ir8: optimized geometry, PBE-GGA.

```
Fe3Ir8
1.0
-0.715 -0.726 -3.668
-3.362 -1.415 2.911
-2.000 9.440 -1.479
Fe Ir
3 8
Direct
0.000 0.000 0.000
0.911 0.822 0.366
0.089 0.178 0.634
0.727 0.453 0.092
0.273 0.547 0.908
0.546 0.092 0.818
0.454 0.908 0.182
0.819 0.637 0.727
0.181 0.363 0.273
0.635 0.271 0.455
0.365 0.729 0.545
```

## Properties
- DOS at the Fermi energy: 11.43 states/eV/cell
- Crystal system: monoclinic
- Formation energy from the elements: -54 meV per atom
- Magnetic moment: 8.1 μB/cell